Record 1
An optimized crystal structure of LuReNiBi. Source: OQMD, functional GGA-PBE.

CIF file:
```
data_LuReNiBi
_space_group_name_H-M_alt 'F -4 3 m'
_space_group_IT_number 216
_space_group_name_Hall 'F -4 2 3'
_cell_length_a 6.785
_cell_length_b 6.785
_cell_length_c 6.785
_cell_angle_alpha 90.00
_cell_angle_beta 90.00
_cell_angle_gamma 90.00
loop_
_atom_site_label
_atom_site_fract_x
_atom_site_fract_y
_atom_site_fract_z
Lu1 0.000 0.000 0.000
Re1 0.250 0.250 0.750
Ni1 0.000 0.000 0.500
Bi1 0.250 0.250 0.250
```

## Properties
E_tot: -95.58 eV/cell
Total magnetic moment: 0.526 μB/atom

=====

Record 2
An optimized crystal structure of Y2ZnGa2Hg. Source: OQMD, functional GGA-PBE.

CIF file:
```
data_Y2ZnGa2Hg
_space_group_name_H-M_alt 'P 3 m 1'
_space_group_IT_number 156
_cell_length_a 4.5319
_cell_length_b 4.5319
_cell_length_c 7.2537
_cell_angle_alpha 90.00
_cell_angle_beta 90.00
_cell_angle_gamma 120.00
loop_
_space_group_symop_operation_xyz
'x,y,z'
'-y,x-y,z'
'-x+y,-x,z'
'-y,-x,z'
'-x+y,y,z'
'x,x-y,z'
loop_
_atom_site_label
_atom_site_fract_x
_atom_site_fract_y
_atom_site_fract_z
Y1 0.0000 0.0000 0.0000
Y2 0.0000 0.0000 0.4905
Zn1 0.3333 0.6667 0.2076
Ga1 0.3333 0.6667 0.7971
Ga2 0.6667 0.3333 0.2747
Hg1 0.6667 0.3333 0.7068
```

## Properties
E_tot: -23.97 eV/cell
Total magnetic moment: 0.003 μB/atom

=====

Record 3
An optimized crystal structure of LaNdSb2. Source: OQMD, functional GGA-PBE.

CIF file:
```
data_LaNdSb2
_space_group_name_H-M_alt 'P 4/n m m'
_space_group_IT_number 129
_cell_length_a 4.554
_cell_length_b 4.554
_cell_length_c 12.020
_cell_angle_alpha 90.00
_cell_angle_beta 90.00
_cell_angle_gamma 90.00
loop_
_space_group_symop_operation_xyz
'x,y,z'
'-x,-y,-z'
'-y+1/2,x,z'
'y+1/2,-x,-z'
'-x+1/2,-y+1/2,z'
'x+1/2,y+1/2,-z'
'y,-x+1/2,z'
'-y,x+1/2,-z'
'x+1/2,-y,-z'
'-x+1/2,y,z'
'-y,-x,-z'
'y,x,z'
'-x,y+1/2,-z'
'x,-y+1/2,z'
'y+1/2,x+1/2,-z'
'-y+1/2,-x+1/2,z'
loop_
_atom_site_label
_atom_site_fract_x
_atom_site_fract_y
_atom_site_fract_z
La1 0.250 0.250 0.208
Nd1 0.250 0.750 0.500
Sb1 0.250 0.250 0.697
Sb2 0.250 0.750 0.000
```

## Properties
E_tot: -42.84 eV/cell
Total magnetic moment: 0.004 μB/atom